Material: TaSiH
Method: DFT, PBE
State: relaxed

Lattice parameters (Å, degrees): 4.140 3.142 7.959 77.40 90.49 132.86
Positions (direct):
H (0.440, 0.881, 0.119)
H (0.560, 0.119, 0.881)
Ta (0.321, 0.641, 0.359)
Ta (0.679, 0.359, 0.641)
Si (0.922, 0.844, 0.156)
Si (0.078, 0.156, 0.844)

Calculated values
- electronic total energy (eV per atom) = -6.853
- symmetry = C2/m

***

Material: Pr3InBi2
Method: DFT, PBE
State: relaxed

Lattice parameters (Å, degrees): 6.516 9.118 8.087 106.37 113.76 90.00
Positions (direct):
Bi (0.666, 0.083, 0.332)
Bi (0.334, 0.417, 0.668)
Bi (0.666, 0.583, 0.332)
Bi (0.334, 0.917, 0.668)
In (0.000, 0.750, 0.000)
In (0.000, 0.250, 0.000)
Pr (0.828, 0.414, 0.655)
Pr (0.827, 0.914, 0.655)
Pr (0.172, 0.586, 0.345)
Pr (0.500, 0.750, 0.000)
Pr (0.500, 0.250, 0.000)
Pr (0.173, 0.086, 0.345)

Calculated values
- electronic total energy (eV per atom) = -4.824
- symmetry = C2/c

***

Material: NbSbTe2Rh
Method: DFT, PBE
State: relaxed

Lattice parameters (Å, degrees): 5.146 5.146 5.015 90.00 90.00 90.00
Positions (direct):
Te (0.000, 0.500, 0.000)
Te (0.500, 0.000, 0.000)
Rh (0.000, 0.000, 0.000)
Sb (0.000, 0.000, 0.500)
Nb (0.500, 0.500, 0.500)

Calculated values
- electronic total energy (eV per atom) = -4.798
- formation energy from raw total energies (eV per atom) = 0.77
- symmetry = P4/mmm

***

Material: LiZn8Ru2
Method: DFT, PBE
State: relaxed

Lattice parameters (Å, degrees): 4.307 5.771 7.396 112.96 106.93 90.00
Positions (direct):
Zn (0.650, 0.878, 0.299)
Zn (0.350, 0.122, 0.701)
Zn (0.000, 0.718, 0.000)
Zn (0.835, 0.835, 0.669)
Zn (0.650, 0.421, 0.299)
Zn (0.165, 0.165, 0.331)
Zn (0.350, 0.579, 0.701)
Zn (0.000, 0.282, 0.000)
Li (0.500, 0.000, 0.000)
Ru (0.815, 0.315, 0.630)
Ru (0.185, 0.685, 0.370)

Calculated values
- electronic total energy (eV per atom) = -2.817
- symmetry = Immm

***

Material: BePPb2
Method: DFT, PBE
State: relaxed

Lattice parameters (Å, degrees): 5.070 5.070 5.070 60.00 60.00 60.00
Positions (direct):
Be (0.500, 0.500, 0.500)
Pb (0.000, 0.000, 0.000)
Pb (0.750, 0.750, 0.750)
P (0.250, 0.250, 0.250)

Calculated values
- electronic total energy (eV per atom) = -3.353
- symmetry = F-43m

***

Material: Al3CdAs
Method: DFT, PBE
State: relaxed

Lattice parameters (Å, degrees): 4.960 4.960 4.960 90.00 90.00 90.00
Positions (direct):
Al (0.500, 0.000, 0.000)
Al (0.000, 0.500, 0.000)
Al (0.000, 0.000, 0.500)
As (0.000, 0.000, 0.000)
Cd (0.500, 0.500, 0.500)

Calculated values
- electronic total energy (eV per atom) = -2.834
- symmetry = Pm-3m

***

Material: FeNi2Pb
Method: DFT, PBE
State: relaxed

Lattice parameters (Å, degrees): 3.124 3.124 6.176 90.00 90.00 90.00
Positions (direct):
Pb (0.500, 0.500, 0.250)
Ni (0.000, 0.000, 0.948)
Ni (0.000, 0.000, 0.552)
Fe (0.500, 0.500, 0.750)

Calculated values
- electronic total energy (eV per atom) = -5.701
- symmetry = P4/mmm

***

Material: Dy2AlSi3Pd4
Method: DFT, PBE
State: relaxed

Lattice parameters (Å, degrees): 4.160 4.160 10.164 90.00 90.00 90.00
Positions (direct):
Si (0.000, 0.000, 0.500)
Si (0.500, 0.000, 0.869)
Si (0.000, 0.500, 0.131)
Al (0.500, 0.500, 0.500)
Pd (0.500, 0.000, 0.635)
Pd (0.000, 0.500, 0.365)
Pd (0.000, 0.000, 0.000)
Pd (0.500, 0.500, 0.000)
Dy (0.000, 0.500, 0.752)
Dy (0.500, 0.000, 0.248)

Calculated values
- electronic total energy (eV per atom) = -5.912
- formation energy from raw total energies (eV per atom) = -0.91
- symmetry = P-4m2

***

Material: Sr2GaHgRu
Method: DFT, PBE
State: relaxed

Lattice parameters (Å, degrees): 5.892 4.792 5.892 90.00 90.00 90.00
Positions (direct):
Hg (0.000, 0.500, 0.000)
Sr (0.500, 0.000, 0.000)
Sr (0.000, 0.000, 0.500)
Ru (0.500, 0.500, 0.500)
Ga (0.000, 0.000, 0.000)

Calculated values
- electronic total energy (eV per atom) = -2.493
- symmetry = P4/mmm

***

| no. | calculated density (g cm⁻³) |
| --- | --- |
| 1 | 9.6 |
| 2 | 7.6 |
| 3 | 7.2 |
| 4 | 7.6 |
| 5 | 8.2 |
| 6 | 3.7 |
| 7 | 10.5 |
| 8 | 8.1 |
| 9 | 5.5 |